(1)
PuCd2In | PBE | optimized geometry

Values from the calculation:
relative energy among the computed polymorphs: 5.02 kJ/mol of atoms
DFT total energy: -4.773 eV/atom
theoretical density: 9.49 g cm⁻³

Cell and atoms, written as POSCAR:
```
PuCd2In
1.0
4.8264 0.0000 0.0000
0.0000 4.5995 0.0000
0.0000 0.0000 4.5995
In Cd Pu
1 2 1
Direct
0.5000 0.0000 0.0000 In
0.0000 0.0000 0.5000 Cd
0.0000 0.5000 0.0000 Cd
0.5000 0.5000 0.5000 Pu
```

(2)
Pr2CdHg8 | PBE | optimized geometry

Values from the calculation:
DFT total energy: -1.443 eV/atom
theoretical density: 11.37 g cm⁻³

Cell and atoms, written as POSCAR:
```
Pr2CdHg8
1.0
4.7819 0.0000 0.0000
0.0000 4.7819 0.0000
0.0000 0.0000 12.7645
Pr Hg Cd
2 8 1
Direct
0.0000 0.0000 0.3117 Pr
0.0000 0.0000 0.6883 Pr
0.5000 0.5000 0.6785 Hg
0.5000 0.0000 0.5000 Hg
0.5000 0.0000 0.8618 Hg
0.5000 0.0000 0.1382 Hg
0.5000 0.5000 0.3215 Hg
0.0000 0.5000 0.8618 Hg
0.0000 0.5000 0.1382 Hg
0.0000 0.5000 0.5000 Hg
0.0000 0.0000 0.0000 Cd
```

(3)
Na5SrHg2 | PBE | optimized geometry

Values from the calculation:
DFT total energy: -1.299 eV/atom
theoretical density: 3.79 g cm⁻³

Cell and atoms, written as POSCAR:
```
Na5SrHg2
1.0
-3.5642 1.2469 2.9112
-6.5028 -3.6310 -2.5018
-0.9297 -5.7786 5.2414
Hg Na Sr
2 5 1
Direct
0.2842 0.2158 0.2158 Hg
0.7158 0.7842 0.7842 Hg
0.3386 0.8455 0.4773 Na
0.3386 0.4773 0.8455 Na
0.6614 0.1545 0.5227 Na
0.6614 0.5227 0.1545 Na
0.0000 0.5000 0.5000 Na
0.0000 0.0000 0.0000 Sr
```

(4)
SrEr2CuS4 | PBE | optimized geometry

Values from the calculation:
DFT total energy: -5.665 eV/atom
theoretical density: 5.93 g cm⁻³
formation energy (no corrections): -1739 meV/atom

Cell and atoms, written as POSCAR:
```
SrEr2CuS4
1.0
-3.1855 2.2075 -0.4451
-0.6734 -5.2777 -4.2601
-6.2213 -7.0244 9.6858
S Er Sr Cu
8 4 2 2
Direct
0.2698 0.5395 0.1175 S
0.7302 0.4605 0.8825 S
0.7302 0.4605 0.6175 S
0.0000 0.0000 0.0000 S
0.5565 0.1131 0.2500 S
0.0000 0.0000 0.5000 S
0.2698 0.5395 0.3825 S
0.4435 0.8869 0.7500 S
0.6282 0.2565 0.0585 Er
0.6282 0.2565 0.4415 Er
0.3718 0.7435 0.5585 Er
0.3718 0.7435 0.9415 Er
0.1176 0.2352 0.7500 Sr
0.8824 0.7648 0.2500 Sr
0.8474 0.6948 0.7500 Cu
0.1526 0.3052 0.2500 Cu
```

(5)
NaPrBi2Se4 | PBE | optimized geometry

Values from the calculation:
DFT total energy: -4.323 eV/atom
theoretical density: 6.04 g cm⁻³
formation energy (no corrections): -849 meV/atom

Cell and atoms, written as POSCAR:
```
NaPrBi2Se4
1.0
-1.1246 -0.4695 3.9947
8.7197 -2.6544 2.1428
-2.8184 7.3431 0.0696
Pr Na Se Bi
1 1 4 2
Direct
0.5000 0.5000 0.0000 Pr
0.0000 0.0000 0.0000 Na
0.5000 0.7104 0.8254 Se
0.0000 0.2792 0.6571 Se
0.5000 0.2896 0.1746 Se
0.0000 0.7208 0.3429 Se
0.5000 0.0000 0.5000 Bi
0.0000 0.5000 0.5000 Bi
```

(6)
BeCd2Pb | PBE | optimized geometry

Values from the calculation:
relative energy among the computed polymorphs: 16.10 kJ/mol of atoms
DFT total energy: -1.848 eV/atom
theoretical density: 8.33 g cm⁻³

Cell and atoms, written as POSCAR:
```
BeCd2Pb
1.0
-5.4629 1.0294 -0.1652
-2.6669 -3.1583 -3.7206
3.5949 -1.0831 4.1029
Cd Pb Be
2 1 1
Direct
0.0000 0.0000 0.0000 Cd
0.5000 0.5000 0.0000 Cd
0.2500 0.7500 0.5000 Pb
0.7500 0.2500 0.5000 Be
```

(7)
Ta2SiC | PBE | optimized geometry

Values from the calculation:
DFT total energy: -9.016 eV/atom
theoretical density: 12.16 g cm⁻³
formation energy (no corrections): 572 meV/atom

Cell and atoms, written as POSCAR:
```
Ta2SiC
1.0
1.6092 -3.9506 0.0679
-1.5290 -2.8791 2.7522
-2.3328 -3.2782 -1.4186
Ta C Si
2 1 1
Direct
0.2500 0.2500 0.2500 Ta
0.7500 0.7500 0.7500 Ta
0.0000 0.0000 0.0000 C
0.5000 0.5000 0.5000 Si
```

(8)
SnGe3Te4 | PBE | optimized geometry

Values from the calculation:
relative energy among the computed polymorphs: 0.79 kJ/mol of atoms
DFT total energy: -3.915 eV/atom
theoretical density: 6.17 g cm⁻³
formation energy (no corrections): -113 meV/atom

Cell and atoms, written as POSCAR:
```
SnGe3Te4
1.0
4.3146 0.0000 0.0000
0.0000 6.1180 0.0000
0.0000 0.0000 8.6425
Ge Te Sn
3 4 1
Direct
0.5000 0.5000 0.7467 Ge
0.0000 0.0000 0.5000 Ge
0.5000 0.5000 0.2533 Ge
0.0000 0.5000 0.0000 Te
0.5000 0.0000 0.2631 Te
0.5000 0.0000 0.7369 Te
0.0000 0.5000 0.5000 Te
0.0000 0.0000 0.0000 Sn
```

(9)
HfRe2Ni2 | PBE | optimized geometry

Values from the calculation:
relative energy among the computed polymorphs: 0.00 kJ/mol of atoms
DFT total energy: -9.303 eV/atom
theoretical density: 14.56 g cm⁻³

Cell and atoms, written as POSCAR:
```
HfRe2Ni2
1.0
3.6462 0.0000 0.0000
0.0000 3.6462 0.0000
1.8231 1.8231 5.7329
Hf Ni Re
1 2 2
Direct
0.0000 0.0000 0.0000 Hf
0.4033 0.4033 0.1933 Ni
0.5967 0.5967 0.8067 Ni
0.7500 0.2500 0.5000 Re
0.2500 0.7500 0.5000 Re
```

(10)
As2PbSeO | PBE | optimized geometry

Values from the calculation:
relative energy among the computed polymorphs: 122.25 kJ/mol of atoms
DFT total energy: -2.861 eV/atom
theoretical density: 4.44 g cm⁻³
formation energy (no corrections): 1429 meV/atom

Cell and atoms, written as POSCAR:
```
As2PbSeO
1.0
5.5245 0.0000 0.0000
0.0000 5.5245 0.0000
0.0000 0.0000 5.5330
As Pb Se O
2 1 1 1
Direct
0.5000 0.0000 0.0000 As
0.0000 0.5000 0.0000 As
0.0000 0.0000 0.0000 Pb
0.0000 0.0000 0.5000 Se
0.5000 0.5000 0.5000 O
```

(11)
TaSiNi2 | PBE | optimized geometry

Values from the calculation:
DFT total energy: -7.249 eV/atom
theoretical density: 9.56 g cm⁻³
formation energy (no corrections): -39 meV/atom

Cell and atoms, written as POSCAR:
```
TaSiNi2
1.0
3.6899 0.0000 0.0000
0.0000 3.6899 0.0000
1.8450 1.8450 8.3280
Ni Ta Si
4 2 2
Direct
0.8750 0.8487 0.7500 Ni
0.3750 0.4013 0.7500 Ni
0.5987 0.1250 0.2500 Ni
0.1513 0.6250 0.2500 Ni
0.0000 0.0000 0.0000 Ta
0.7500 0.2500 0.5000 Ta
0.5000 0.5000 0.0000 Si
0.2500 0.7500 0.5000 Si
```

(12)
Ti2CO2 | PBE | optimized geometry

Values from the calculation:
DFT total energy: -9.007 eV/atom
theoretical density: 3.85 g cm⁻³
formation energy (no corrections): -2021 meV/atom

Cell and atoms, written as POSCAR:
```
Ti2CO2
1.0
-2.1252 0.5850 2.0883
0.7518 -4.7588 2.0982
5.9499 5.0604 2.4302
C Ti O
2 4 4
Direct
0.7500 0.2500 0.5000 C
0.2500 0.7500 0.5000 C
0.3366 0.1743 0.6731 Ti
0.8366 0.6743 0.6731 Ti
0.1634 0.3257 0.3269 Ti
0.6634 0.8257 0.3269 Ti
0.8968 0.0709 0.7936 O
0.3969 0.5710 0.7937 O
0.1032 0.9291 0.2064 O
0.6031 0.4290 0.2063 O
```